# 1
## Sr2CoSn2 (PBE)

Data for a geometry-optimized Sr2CoSn2 structure.

a b c (Å): 7.296 7.296 5.253
angles (deg): 90.00 90.00 90.00
Positions (direct):
Sr  0.168  0.332  0.000
Sr  0.332  0.832  0.000
Sr  0.668  0.168  0.000
Sr  0.832  0.668  0.000
Co  0.000  0.000  0.500
Co  0.500  0.500  0.500
Sn  0.148  0.648  0.500
Sn  0.352  0.148  0.500
Sn  0.648  0.852  0.500
Sn  0.852  0.352  0.500

Calculated values
Symmetry: No. 127
Volume (Å³/atom): 27.97
Size of the total moment (Bohr magnetons per cell): 2.14
Energy of formation from the pure elements (eV/atom): -0.212
Final energy (eV/atom): -3.907

# 2
## SrCo2Sn8 (PBE)

Data for a geometry-optimized SrCo2Sn8 structure.

a b c (Å): 6.308 6.308 8.280
angles (deg): 90.00 90.00 90.00
Positions (direct):
Sr  0.000  0.000  0.000
Co  0.000  0.500  0.500
Co  0.500  0.000  0.500
Sn  0.252  0.252  0.318
Sn  0.252  0.252  0.682
Sn  0.252  0.748  0.318
Sn  0.252  0.748  0.682
Sn  0.748  0.252  0.318
Sn  0.748  0.252  0.682
Sn  0.748  0.748  0.318
Sn  0.748  0.748  0.682

Calculated values
Symmetry: No. 123
Volume (Å³/atom): 29.95
Size of the total moment (Bohr magnetons per cell): 0.00
Energy of formation from the pure elements (eV/atom): -0.021
Final energy (eV/atom): -4.377

- Which formula does entry 2 have?
  SrCo2Sn8